VASP calculation (GGA+U) on a relaxed MnGe2O6 crystal.

Values from the calculation:
* calculated volume: 176 Å³/cell
* total energy: -6.670 eV/atom
* magnetic moment: 0.333 μB per atom
* crystal system: tetragonal
* SG: P4_2/mnm, No. 136

Cell lengths 4.4729, 4.4729, 8.7867 Å; angles 90.00, 90.00, 90.00 degrees
Closest atoms and distances in Å follow each position.
Element x y z (fractional)
Ge (0.5000, 0.5000, 0.6667)  6 O 1.90-1.94
O (0.3065, 0.3065, 0.8316)  2 Ge 1.90-1.94, 1 Mn 1.92
O (0.6935, 0.6935, 0.1684)  2 Ge 1.90-1.94, 1 Mn 1.92
O (0.1935, 0.8065, 0.6684)  2 Ge 1.90-1.94, 1 Mn 1.92
Mn (0.5000, 0.5000, 0.0000)  6 O 1.92-1.95
O (0.8065, 0.1935, 0.3316)  2 Ge 1.90-1.94, 1 Mn 1.92
O (0.6923, 0.6923, 0.5000)  2 Ge 1.90, 1 Mn 1.95
O (0.1923, 0.8077, 0.0000)  2 Ge 1.90, 1 Mn 1.95
O (0.3077, 0.3077, 0.5000)  2 Ge 1.90, 1 Mn 1.95
O (0.3065, 0.3065, 0.1684)  2 Ge 1.90-1.94, 1 Mn 1.92
O (0.6935, 0.6935, 0.8316)  2 Ge 1.90-1.94, 1 Mn 1.92
O (0.8077, 0.1923, 0.0000)  2 Ge 1.90, 1 Mn 1.95
Ge (0.0000, 0.0000, 0.8333)  6 O 1.90-1.94
O (0.1935, 0.8065, 0.3316)  2 Ge 1.90-1.94, 1 Mn 1.92
Mn (0.0000, 0.0000, 0.5000)  6 O 1.92-1.95
Ge (0.0000, 0.0000, 0.1667)  6 O 1.90-1.94
O (0.8065, 0.1935, 0.6684)  2 Ge 1.90-1.94, 1 Mn 1.92
Ge (0.5000, 0.5000, 0.3333)  6 O 1.90-1.94